Entry from Alexandria via LeMat-Bulk: an optimized crystal structure of InRu5 (PBE-GGA).

Properties
The calculated formation energy is 0.1809 eV/atom. Its space group is No. 38. The calculation puts the energy above the most stable polymorph in this dataset at 0.057 eV per atom.

Cell lengths 4.389, 7.393, 7.393 Å; angles 21.96, 90.00, 90.00 degrees
Element x y z (fractional)
1 In 0.000 0.000 0.000
2 Ru 0.000 0.325 0.325
3 Ru 0.000 0.676 0.676
4 Ru 0.500 0.222 0.222
5 Ru 0.500 0.563 0.563
6 Ru 0.500 0.883 0.883


Entry from Alexandria via LeMat-Bulk: an optimized crystal structure of PuGa2Ni5 (PBE-GGA).

Properties
The calculated formation energy is -0.2360 eV/atom. Its space group is No. 71.

Cell lengths 6.096, 6.096, 6.096 Å; angles 145.46, 114.21, 76.47 degrees
Element x y z (fractional)
1 Pu 0.000 0.000 0.000
2 Ga 0.255 0.755 0.500
3 Ga 0.745 0.245 0.500
4 Ni 0.179 0.369 0.811
5 Ni 0.442 0.631 0.811
6 Ni 0.500 0.000 0.500
7 Ni 0.558 0.369 0.189
8 Ni 0.821 0.631 0.189


Entry from Alexandria via LeMat-Bulk: an optimized crystal structure of Pu2CoRu (PBE-GGA).

Properties
The calculated formation energy is 0.4188 eV/atom. Its space group is No. 166.

Cell lengths 9.927, 9.927, 9.927 Å; angles 16.49, 16.49, 16.49 degrees
Element x y z (fractional)
1 Pu 0.084 0.084 0.084
2 Pu 0.916 0.916 0.916
3 Co 0.000 0.000 0.000
4 Ru 0.500 0.500 0.500


Entry from Alexandria via LeMat-Bulk: an optimized crystal structure of TcAs2IrBr (PBE-GGA).

Properties
Its space group is No. 123. For the formation energy (no corrections), the calculation gives 1112.0 meV/atom. The calculation puts the energy above the most stable polymorph in this dataset at 0.000 eV per atom.

Cell lengths 4.777, 4.777, 5.240 Å; angles 90.00, 90.00, 90.00 degrees
Element x y z (fractional)
1 Tc 0.000 0.000 0.000
2 As 0.000 0.500 0.500
3 As 0.500 0.000 0.500
4 Ir 0.500 0.500 0.500
5 Br 0.500 0.500 0.000


Entry from Alexandria via LeMat-Bulk: an optimized crystal structure of HgHF2 (PBE-GGA).

Properties
Its space group is No. 225. The calculation puts the energy above the most stable polymorph in this dataset at 0.840 eV per atom.

Cell lengths 4.052, 4.052, 4.052 Å; angles 60.00, 60.00, 60.00 degrees
Element x y z (fractional)
1 Hg 0.000 0.000 0.000
2 H 0.500 0.500 0.500
3 F 0.250 0.250 0.250
4 F 0.750 0.750 0.750


Entry from Alexandria via LeMat-Bulk: an optimized crystal structure of La2TeCl (PBE-GGA).

Properties
Its space group is No. 38. For the formation energy (no corrections), the calculation gives -1457.7 meV/atom. The calculation puts the energy above the most stable polymorph in this dataset at 0.094 eV per atom.

Cell lengths 4.469, 6.816, 6.816 Å; angles 35.55, 90.00, 90.00 degrees
Element x y z (fractional)
1 La 0.000 0.000 0.000
2 La 0.500 0.297 0.297
3 Te 0.000 0.733 0.733
4 Cl 0.500 0.514 0.514


Entry from Alexandria via LeMat-Bulk: an optimized crystal structure of Pr4HoTl2 (PBE-GGA).

Properties
The calculated formation energy is 0.0709 eV/atom. Its space group is No. 2. The calculation puts the energy above the most stable polymorph in this dataset at 0.058 eV per atom.

Cell lengths 6.322, 6.352, 6.381 Å; angles 114.20, 93.93, 94.21 degrees
Element x y z (fractional)
1 Pr 0.000 0.000 0.000
2 Pr 0.000 0.500 0.500
3 Pr 0.499 0.297 0.206
4 Pr 0.501 0.703 0.794
5 Ho 0.000 0.500 0.000
6 Tl 0.266 0.074 0.575
7 Tl 0.734 0.926 0.425


Entry from Alexandria via LeMat-Bulk: an optimized crystal structure of Na3PdPb3O8 (PBE-GGA).

Properties
Its space group is No. 12. For the formation energy (no corrections), the calculation gives -1034.1 meV/atom.

Cell lengths 6.996, 6.996, 6.639 Å; angles 118.24, 118.24, 56.76 degrees
Element x y z (fractional)
1 Na 0.000 0.000 0.000
2 Na 0.000 0.500 0.500
3 Na 0.500 0.000 0.500
4 Pd 0.000 0.000 0.500
5 Pb 0.000 0.500 0.000
6 Pb 0.500 0.000 0.000
7 Pb 0.500 0.500 0.500
8 O 0.184 0.750 0.258
9 O 0.250 0.816 0.742
10 O 0.258 0.258 0.251
11 O 0.280 0.280 0.817
12 O 0.720 0.720 0.183
13 O 0.742 0.742 0.749
14 O 0.750 0.184 0.258
15 O 0.816 0.250 0.742


Entry from Alexandria via LeMat-Bulk: an optimized crystal structure of NbVRhSe2 (PBE-GGA).

Properties
Its space group is No. 123. For the formation energy (no corrections), the calculation gives 994.1 meV/atom.

Cell lengths 4.946, 4.946, 4.583 Å; angles 90.00, 90.00, 90.00 degrees
Element x y z (fractional)
1 Nb 0.000 0.000 0.000
2 V 0.000 0.000 0.500
3 Rh 0.500 0.500 0.500
4 Se 0.000 0.500 0.000
5 Se 0.500 0.000 0.000


Entry from Alexandria via LeMat-Bulk: an optimized crystal structure of RbNaGa2 (PBE-GGA).

Properties
The calculated formation energy is 0.2661 eV/atom. Its space group is No. 225. The calculation puts the energy above the most stable polymorph in this dataset at 0.364 eV per atom.

Cell lengths 5.607, 5.607, 5.607 Å; angles 60.00, 60.00, 60.00 degrees
Element x y z (fractional)
1 Rb 0.000 0.000 0.000
2 Na 0.500 0.500 0.500
3 Ga 0.250 0.250 0.250
4 Ga 0.750 0.750 0.750


Entry from Alexandria via LeMat-Bulk: an optimized crystal structure of La2AsH (PBE-GGA).

Properties
Its space group is No. 13. The calculation puts the energy above the most stable polymorph in this dataset at 0.077 eV per atom.

Cell lengths 6.016, 6.023, 12.837 Å; angles 90.00, 117.08, 90.00 degrees
Element x y z (fractional)
1 La 0.122 0.227 0.118
2 La 0.122 0.773 0.618
3 La 0.349 0.243 0.868
4 La 0.349 0.757 0.368
5 La 0.651 0.243 0.632
6 La 0.651 0.757 0.132
7 La 0.878 0.227 0.382
8 La 0.878 0.773 0.882
9 As 0.371 0.258 0.375
10 As 0.371 0.742 0.875
11 As 0.629 0.258 0.125
12 As 0.629 0.742 0.625
13 H 0.063 0.189 0.625
14 H 0.063 0.811 0.125
15 H 0.937 0.189 0.875
16 H 0.937 0.811 0.375


Entry from Alexandria via LeMat-Bulk: an optimized crystal structure of NdSm5Tm5 (PBE-GGA).

Properties
The calculated formation energy is 0.2958 eV/atom. Its space group is No. 187.

Cell lengths 6.054, 6.054, 11.811 Å; angles 90.00, 90.00, 120.00 degrees
Element x y z (fractional)
1 Nd 0.000 0.000 0.000
2 Sm 0.000 0.000 0.319
3 Sm 0.000 0.000 0.681
4 Sm 0.333 0.667 0.155
5 Sm 0.333 0.667 0.845
6 Sm 0.667 0.333 0.000
7 Tm 0.500 0.001 0.500
8 Tm 0.500 0.500 0.500
9 Tm 0.667 0.333 0.266
10 Tm 0.667 0.333 0.734
11 Tm 0.999 0.500 0.500


Entry from Alexandria via LeMat-Bulk: an optimized crystal structure of ZrSc2Ga (PBE-GGA).

Properties
The calculated formation energy is -0.3295 eV/atom. Its space group is No. 123.

Cell lengths 3.264, 3.264, 8.005 Å; angles 90.00, 90.00, 90.00 degrees
Element x y z (fractional)
1 Zr 0.000 0.000 0.000
2 Sc 0.500 0.500 0.275
3 Sc 0.500 0.500 0.725
4 Ga 0.000 0.000 0.500


Entry from Alexandria via LeMat-Bulk: an optimized crystal structure of Ba2MgHg7 (PBE-GGA).

Properties
The calculated formation energy is -0.3513 eV/atom. Its space group is No. 115.

Cell lengths 4.764, 4.764, 13.134 Å; angles 90.00, 90.00, 90.00 degrees
Element x y z (fractional)
1 Ba 0.000 0.500 0.247
2 Ba 0.500 0.000 0.753
3 Mg 0.000 0.000 0.500
4 Hg 0.000 0.000 0.000
5 Hg 0.000 0.500 0.633
6 Hg 0.000 0.500 0.857
7 Hg 0.500 0.000 0.143
8 Hg 0.500 0.000 0.367
9 Hg 0.500 0.500 0.000
10 Hg 0.500 0.500 0.500


Entry from Alexandria via LeMat-Bulk: an optimized crystal structure of Ca3Mg7Cu4 (PBE-GGA).

Properties
The calculated formation energy is -0.1051 eV/atom. Its space group is No. 12.

Cell lengths 8.456, 8.456, 10.344 Å; angles 123.00, 123.00, 30.56 degrees
Element x y z (fractional)
1 Ca 0.000 0.000 0.000
2 Ca 0.308 0.308 0.295
3 Ca 0.692 0.692 0.705
4 Mg 0.000 0.000 0.500
5 Mg 0.166 0.166 0.425
6 Mg 0.317 0.317 0.980
7 Mg 0.489 0.489 0.709
8 Mg 0.511 0.511 0.291
9 Mg 0.683 0.683 0.020
10 Mg 0.834 0.834 0.575
11 Cu 0.111 0.111 0.823
12 Cu 0.333 0.333 0.730
13 Cu 0.667 0.667 0.270
14 Cu 0.889 0.889 0.177


Entry from Alexandria via LeMat-Bulk: an optimized crystal structure of Hf2MnFeH (PBE-GGA).

Properties
Its space group is No. 123. The calculation puts the energy above the most stable polymorph in this dataset at 0.000 eV per atom.

Cell lengths 4.472, 4.472, 3.241 Å; angles 90.00, 90.00, 90.00 degrees
Element x y z (fractional)
1 Hf 0.000 0.500 0.000
2 Hf 0.500 0.000 0.000
3 Mn 0.000 0.000 0.500
4 Fe 0.500 0.500 0.500
5 H 0.000 0.000 0.000


Entry from Alexandria via LeMat-Bulk: an optimized crystal structure of CaTb2Tm (PBE-GGA).

Properties
The calculated formation energy is 0.0704 eV/atom. Its space group is No. 123. The calculation puts the energy above the most stable polymorph in this dataset at 0.009 eV per atom.

Cell lengths 3.594, 3.594, 10.359 Å; angles 90.00, 90.00, 90.00 degrees
Element x y z (fractional)
1 Ca 0.000 0.000 0.000
2 Tb 0.500 0.500 0.270
3 Tb 0.500 0.500 0.730
4 Tm 0.000 0.000 0.500


Entry from Alexandria via LeMat-Bulk: an optimized crystal structure of PmEuBi (PBE-GGA).

Properties
The calculated formation energy is -0.5398 eV/atom. Its space group is No. 107. The calculation puts the energy above the most stable polymorph in this dataset at 0.000 eV per atom.

Cell lengths 6.223, 6.223, 6.223 Å; angles 140.06, 140.06, 57.76 degrees
Element x y z (fractional)
1 Pm 0.000 0.000 0.000
2 Eu 0.695 0.695 0.000
3 Bi 0.359 0.359 0.000


Entry from Alexandria via LeMat-Bulk: an optimized crystal structure of SrTa2Au (PBE-GGA).

Properties
The calculated formation energy is 0.3467 eV/atom. Its space group is No. 71. The calculation puts the energy above the most stable polymorph in this dataset at 0.126 eV per atom.

Cell lengths 6.480, 6.480, 6.480 Å; angles 152.87, 134.19, 54.06 degrees
Element x y z (fractional)
1 Sr 0.000 0.000 0.000
2 Ta 0.280 0.780 0.500
3 Ta 0.720 0.220 0.500
4 Au 0.500 0.500 0.000


Entry from Alexandria via LeMat-Bulk: an optimized crystal structure of LaDy2Tm5Th (PBE-GGA).

Properties
The calculated formation energy is 0.3009 eV/atom. Its space group is No. 140.

Cell lengths 9.768, 9.768, 9.768 Å; angles 127.43, 127.43, 77.55 degrees
Element x y z (fractional)
1 La 0.250 0.750 0.500
2 La 0.750 0.250 0.500
3 Dy 0.116 0.616 0.732
4 Dy 0.384 0.116 0.500
5 Dy 0.616 0.884 0.500
6 Dy 0.884 0.384 0.268
7 Tm 0.000 0.000 0.000
8 Tm 0.073 0.158 0.500
9 Tm 0.158 0.658 0.086
10 Tm 0.342 0.427 0.500
11 Tm 0.427 0.927 0.086
12 Tm 0.500 0.500 0.000
13 Tm 0.573 0.073 0.914
14 Tm 0.658 0.573 0.500
15 Tm 0.842 0.342 0.914
16 Tm 0.927 0.842 0.500
17 Th 0.250 0.250 0.000
18 Th 0.750 0.750 0.000


Entry from Alexandria via LeMat-Bulk: an optimized crystal structure of NaCd2Ag5 (PBE-GGA).

Properties
The calculated formation energy is 0.0006 eV/atom. Its space group is No. 71. The calculation puts the energy above the most stable polymorph in this dataset at 0.027 eV per atom.

Cell lengths 7.428, 7.428, 7.428 Å; angles 156.00, 102.99, 82.05 degrees
Element x y z (fractional)
1 Na 0.000 0.000 0.000
2 Cd 0.245 0.745 0.500
3 Cd 0.755 0.255 0.500
4 Ag 0.144 0.370 0.774
5 Ag 0.403 0.630 0.774
6 Ag 0.500 0.000 0.500
7 Ag 0.597 0.370 0.226
8 Ag 0.856 0.630 0.226


Entry from Alexandria via LeMat-Bulk: an optimized crystal structure of LaInIN2 (PBE-GGA).

Properties
Its space group is No. 123. For the formation energy (no corrections), the calculation gives 634.1 meV/atom. The calculation puts the energy above the most stable polymorph in this dataset at 0.182 eV per atom.

Cell lengths 4.439, 4.439, 5.635 Å; angles 90.00, 90.00, 90.00 degrees
Element x y z (fractional)
1 La 0.000 0.000 0.000
2 In 0.500 0.500 0.500
3 I 0.500 0.500 0.000
4 N 0.000 0.500 0.500
5 N 0.500 0.000 0.500


Entry from Alexandria via LeMat-Bulk: an optimized crystal structure of NiGeN2 (PBE-GGA).

Properties
Its space group is No. 166. For the formation energy (no corrections), the calculation gives 445.6 meV/atom.

Cell lengths 5.983, 5.983, 5.983 Å; angles 28.57, 28.57, 28.57 degrees
Element x y z (fractional)
1 Ni 0.000 0.000 0.000
2 Ge 0.500 0.500 0.500
3 N 0.104 0.104 0.104
4 N 0.896 0.896 0.896


Entry from Alexandria via LeMat-Bulk: an optimized crystal structure of KCaCl2 (PBE-GGA).

Properties
Its space group is No. 12. For the formation energy (no corrections), the calculation gives -1593.5 meV/atom. The calculation puts the energy above the most stable polymorph in this dataset at 0.139 eV per atom.

Cell lengths 5.889, 5.889, 4.310 Å; angles 91.57, 91.57, 90.00 degrees
Element x y z (fractional)
1 K 0.000 0.000 0.000
2 Ca 0.500 0.500 0.000
3 Cl 0.000 0.500 0.000
4 Cl 0.500 0.000 0.000


Entry from Alexandria via LeMat-Bulk: an optimized crystal structure of Ba4LiCu (PBE-GGA).

Properties
The calculated formation energy is 0.0709 eV/atom. Its space group is No. 14. The calculation puts the energy above the most stable polymorph in this dataset at 0.000 eV per atom.

Cell lengths 8.493, 8.139, 8.738 Å; angles 90.00, 99.72, 90.00 degrees
Element x y z (fractional)
1 Ba 0.136 0.170 0.200
2 Ba 0.136 0.330 0.700
3 Ba 0.335 0.647 0.125
4 Ba 0.335 0.853 0.625
5 Ba 0.665 0.147 0.375
6 Ba 0.665 0.353 0.875
7 Ba 0.864 0.670 0.300
8 Ba 0.864 0.830 0.800
9 Li 0.500 0.000 0.000
10 Li 0.500 0.500 0.500
11 Cu 0.000 0.000 0.500
12 Cu 0.000 0.500 0.000


Entry from Alexandria via LeMat-Bulk: an optimized crystal structure of VInCuPt (PBE-GGA).

Properties
The calculated formation energy is -0.1099 eV/atom. Its space group is No. 216.

Cell lengths 4.468, 4.468, 4.468 Å; angles 60.00, 60.00, 60.00 degrees
Element x y z (fractional)
1 V 0.000 0.000 0.000
2 In 0.500 0.500 0.500
3 Cu 0.250 0.250 0.250
4 Pt 0.750 0.750 0.750


Asked for magnetization across the records above, the calculation gives 0.00 5.21 8.72 3.44 0.95 0.00 0.13 0.00 0.95 0.00 0.77 0.00 0.00 0.00 0.00 0.26 0.00 8.88 0.00 0.00 0.00 1.18 0.00 0.15 0.00 1.08 μB per formula unit in order.